Record 1
! Ba2YSb | Alexandria via LeMat-Bulk | meta-GGA SCAN | single point on PBEsol structure; values from VASP
&SYSTEM
  ibrav = 0, nat = 4, ntyp = 3
/
ATOMIC_SPECIES
Y 88.91 Y.upf
Ba 137.33 Ba.upf
Sb 121.76 Sb.upf
ATOMIC_POSITIONS crystal
Y 0.0000 0.0000 0.5000
Ba 0.0000 0.5000 0.0000
Sb 0.5000 0.5000 0.5000
Ba 0.5000 0.0000 0.0000
CELL_PARAMETERS angstrom
-1.3198 -0.6636 4.7186
-3.2812 -3.4240 -1.3993
3.8197 -3.8744 0.5235
! DFT total energy in eV/atom: -36.395
! Symmetry: P4/mmm
! Magnetic moment in μB/f.u.: 0.0

=====

Record 2
! CsTiO2F | Alexandria via LeMat-Bulk | meta-GGA SCAN | single point on PBEsol structure; values from VASP
&SYSTEM
  ibrav = 0, nat = 5, ntyp = 4
/
ATOMIC_SPECIES
O 16.00 O.upf
Cs 132.91 Cs.upf
F 19.00 F.upf
Ti 47.87 Ti.upf
ATOMIC_POSITIONS crystal
O 0.5000 0.0000 0.0000
Cs 0.0000 0.0000 0.0000
F 0.0000 0.0000 0.5000
O 0.0000 0.5000 0.0000
Ti 0.5000 0.5000 0.5000
CELL_PARAMETERS angstrom
4.4280 0.0000 0.0000
0.0000 4.4280 0.0000
0.0000 0.0000 5.0295
! DFT total energy in eV/atom: -13.966
! Symmetry: P4/mmm
! Magnetic moment in μB/f.u.: 2.3

=====

Copy entry 1 word for word.
! Ba2YSb | Alexandria via LeMat-Bulk | meta-GGA SCAN | single point on PBEsol structure; values from VASP
&SYSTEM
  ibrav = 0, nat = 4, ntyp = 3
/
ATOMIC_SPECIES
Y 88.91 Y.upf
Ba 137.33 Ba.upf
Sb 121.76 Sb.upf
ATOMIC_POSITIONS crystal
Y 0.0000 0.0000 0.5000
Ba 0.0000 0.5000 0.0000
Sb 0.5000 0.5000 0.5000
Ba 0.5000 0.0000 0.0000
CELL_PARAMETERS angstrom
-1.3198 -0.6636 4.7186
-3.2812 -3.4240 -1.3993
3.8197 -3.8744 0.5235
! DFT total energy in eV/atom: -36.395
! Symmetry: P4/mmm
! Magnetic moment in μB/f.u.: 0.0